Rb3GaBr6 | PBE | optimized geometry

## Properties
- magnetic moment (μB per cell) = 0.00
- total DFT energy (no corrections) (eV/atom) = -2.90
- energy above the lowest structure with this stoichiometry (meV per atom) = 69
- uncorrected formation energy (meV/atom) = -1308

Cell and atoms, written as POSCAR:
```
Rb3GaBr6
1.0
8.2069 0.0000 0.0000
0.0000 8.2069 0.0000
4.1035 4.1035 5.8032
Ga Br Rb
1 6 3
direct
0.5000 0.5000 0.0000
0.2788 0.2788 0.4424
0.7212 0.7212 0.5576
0.2788 0.2788 0.0000
0.7212 0.7212 0.0000
0.7212 0.2788 0.0000
0.2788 0.7212 0.0000
0.7500 0.2500 0.5000
0.2500 0.7500 0.5000
0.0000 0.0000 0.0000
```

Rb6Ga3Br14 | PBE | optimized geometry

## Properties
- magnetic moment (μB per cell) = 0.83
- total DFT energy (no corrections) (eV/atom) = -2.96
- uncorrected formation energy (meV/atom) = -1299

Cell and atoms, written as POSCAR:
```
Rb6Ga3Br14
1.0
-4.9322 0.9787 4.3646
-6.4432 6.5030 -8.7393
-1.5824 -12.5156 1.0181
Rb Ga Br
6 3 14
direct
0.2331 0.7790 0.1046
0.2331 0.8954 0.6744
0.2331 0.3256 0.2210
0.7655 0.5522 0.5609
0.7655 0.4391 0.9914
0.7655 0.0086 0.4478
0.8229 0.0000 0.0000
0.3481 0.3333 0.6667
0.4941 0.6667 0.3333
0.9492 0.0716 0.2001
0.9492 0.7999 0.8715
0.9492 0.1285 0.9284
0.4701 0.2608 0.4659
0.4701 0.5341 0.7949
0.4701 0.2051 0.7392
0.4696 0.0000 0.0000
0.9930 0.3333 0.6667
0.7184 0.7394 0.1863
0.7184 0.8137 0.5532
0.7184 0.4468 0.2606
0.2689 0.5946 0.4822
0.2689 0.5178 0.1124
0.2689 0.8876 0.4054
```

Rb4GaBr7 | PBE | optimized geometry

## Properties
- magnetic moment (μB per cell) = 0.18
- total DFT energy (no corrections) (eV/atom) = -2.97
- uncorrected formation energy (meV/atom) = -1415

Cell and atoms, written as POSCAR:
```
Rb4GaBr7
1.0
-5.9034 -0.5402 -3.7473
0.2797 -5.6120 -6.1942
-7.6759 -4.6123 6.1947
Rb Ga Br
4 1 7
direct
0.6213 0.1968 0.4824
0.3006 0.8032 0.5176
0.7703 0.5802 0.7818
0.1324 0.4198 0.2182
0.9598 0.0000 0.0000
0.8135 0.7769 0.5213
0.1117 0.2231 0.4787
0.1189 0.8716 0.1456
0.1361 0.1284 0.8544
0.2392 0.6411 0.7924
0.6234 0.0000 0.0000
0.6727 0.3589 0.2076
```

Rb3GaBr6 | PBE | optimized geometry

## Properties
- magnetic moment (μB per cell) = 0.00
- total DFT energy (no corrections) (eV/atom) = -2.97
- energy above the lowest structure with this stoichiometry (meV per atom) = 0
- uncorrected formation energy (meV/atom) = -1377

Cell and atoms, written as POSCAR:
```
Rb3GaBr6
1.0
8.3406 0.0000 0.0000
0.0000 10.7127 -1.4701
0.0000 -0.3677 10.8069
Rb Ga Br
6 2 12
direct
0.4621 0.8941 0.6956
0.9621 0.6956 0.8941
0.3735 0.4315 0.5685
0.8735 0.5685 0.4315
0.9621 0.1059 0.3044
0.4621 0.3044 0.1059
0.0668 0.1874 0.8126
0.5668 0.8126 0.1874
0.1583 0.7029 0.6329
0.6583 0.6329 0.7029
0.1717 0.3922 0.8798
0.6717 0.8798 0.3922
0.1758 0.0543 0.9457
0.7850 0.1848 0.8152
0.2850 0.8152 0.1848
0.6758 0.9457 0.0543
0.1717 0.1202 0.6078
0.6717 0.6078 0.1202
0.1583 0.3671 0.2971
0.6583 0.2971 0.3671
```